## a
First-principles (PBE-GGA) data for crystalline FeNi4Pt2 at its relaxed geometry, as listed in Alexandria via LeMat-Bulk.

Cell lengths 9.3241, 4.8568, 4.8123 Å; angles 120.31, 82.32, 105.37 degrees
Element x y z (fractional)
Ni 0.7746 0.6172 0.0000
Ni 0.7354 0.6142 0.5165
Ni 0.7353 0.0977 0.4835
Ni 0.7608 0.1277 0.0000
Ni 0.2392 0.8723 0.0000
Ni 0.2647 0.9023 0.5165
Ni 0.2646 0.3858 0.4835
Ni 0.2254 0.3828 0.0000
Fe 0.0000 0.0000 0.0000
Fe 0.5000 0.5000 0.0000
Pt 0.0000 0.6634 0.3268
Pt 0.0000 0.3366 0.6732
Pt 0.5000 0.8376 0.6753
Pt 0.5000 0.1624 0.3247

Results
spin magnetization	0.892	μB/atom
SG	C2/m
Fermi-level density of states	7.5	states/eV/f.u.

## b
First-principles (PBE-GGA) data for crystalline FeNi4Pt2 at its relaxed geometry, as listed in Alexandria via LeMat-Bulk.

Cell lengths 4.2271, 4.2271, 6.7906 Å; angles 71.87, 71.87, 90.00 degrees
Element x y z (fractional)
Ni 0.1834 0.1834 0.6333
Ni 0.8166 0.8166 0.3667
Ni 0.0000 0.5000 0.0000
Ni 0.5000 0.0000 0.0000
Fe 0.0000 0.0000 0.0000
Pt 0.3824 0.3824 0.2352
Pt 0.6176 0.6176 0.7648

Results
spin magnetization	0.808	μB/atom
SG	I4/mmm
Fermi-level density of states	11.3	states/eV/f.u.

## c
First-principles (PBE-GGA) data for crystalline FeNi4Pt2 at its relaxed geometry, as listed in Alexandria via LeMat-Bulk.

Cell lengths 4.2977, 6.6146, 6.6146 Å; angles 90.00, 90.00, 90.00 degrees
Element x y z (fractional)
Fe 0.5000 0.0000 0.0000
Fe 0.0000 0.5000 0.5000
Ni 0.0000 0.1410 0.4034
Ni 0.0000 0.8590 0.5966
Ni 0.5000 0.0966 0.6410
Ni 0.5000 0.9034 0.3590
Ni 0.5000 0.3590 0.9034
Ni 0.5000 0.6410 0.0966
Ni 0.0000 0.4034 0.1410
Ni 0.0000 0.5966 0.8590
Pt 0.0000 0.1836 0.8164
Pt 0.0000 0.8164 0.1836
Pt 0.5000 0.6836 0.6836
Pt 0.5000 0.3164 0.3164

Results
spin magnetization	0.920	μB/atom
SG	P4_2/mnm
Fermi-level density of states	7.9	states/eV/f.u.

The energy of each structure relative to the most stable one, in meV/atom, is as follows: a 0; b 696; c 41.